! KHCl4 (PBE, relaxed); values from VASP
! E = -2.20 eV per atom
&SYSTEM
  ibrav = 0, nat = 6, ntyp = 3
/
ATOMIC_SPECIES
Cl 35.45 Cl.upf
K 39.10 K.upf
H 1.01 H.upf
ATOMIC_POSITIONS angstrom
Cl 2.293 -6.823 -9.028
Cl -2.216 -3.365 2.557
Cl 0.671 -5.864 -5.249
Cl -0.691 -4.720 -1.155
K 1.058 -3.989 -7.870
H -0.179 -2.982 -3.916
CELL_PARAMETERS angstrom
-2.846 -2.944 4.525
0.706 -1.722 -8.595
2.207 -5.726 -2.273

! NdP3Pd3 (PBE, relaxed); values from VASP
! energy above the most stable polymorph in this dataset = 0 meV per atom
! E = -5.77 eV per atom
! energy of formation from the pure elements = -369 kJ/mol of formula units
&SYSTEM
  ibrav = 0, nat = 14, ntyp = 3
/
ATOMIC_SPECIES
Pd 106.42 Pd.upf
P 30.97 P.upf
Nd 144.24 Nd.upf
ATOMIC_POSITIONS angstrom
Pd -4.855 -3.755 -4.534
Pd -2.632 0.415 -2.088
Pd -2.555 -5.255 -4.427
Pd 2.438 -3.834 -5.599
Pd -0.332 -1.085 -1.981
Pd -7.625 -1.006 -0.916
P -2.939 -3.531 -2.799
P -2.248 -1.308 -3.716
P -3.734 -0.617 0.023
P -1.453 -4.223 -6.538
P -6.631 -3.403 -0.943
P 1.444 -1.436 -5.572
Nd -5.037 -1.449 -2.513
Nd -0.150 -3.391 -4.002
CELL_PARAMETERS angstrom
-1.206 2.137 -2.547
4.437 -4.799 -6.128
-8.418 -2.177 2.159

! La2Tb3Hg2 (PBE, relaxed); values from VASP
! energy above the most stable polymorph in this dataset = 15 meV per atom
! E = -3.69 eV per atom
! energy of formation from the pure elements = -143 kJ/mol of formula units
&SYSTEM
  ibrav = 0, nat = 7, ntyp = 3
/
ATOMIC_SPECIES
Tb 158.93 Tb.upf
Hg 200.59 Hg.upf
La 138.91 La.upf
ATOMIC_POSITIONS angstrom
Tb 2.423 0.119 3.461
Tb 0.000 2.758 3.935
Tb 2.423 0.000 0.000
Hg 2.423 1.737 5.933
Hg 0.000 1.140 1.463
La 2.423 3.746 1.396
La 0.000 -0.869 6.001
CELL_PARAMETERS angstrom
4.845 0.000 0.000
-2.423 6.059 -0.316
0.000 -3.182 7.712

! K2CaSc (PBE, relaxed); values from VASP
! energy above the most stable polymorph in this dataset = 147 meV per atom
! E = -2.15 eV per atom
! energy of formation from the pure elements = 186 kJ/mol of formula units
&SYSTEM
  ibrav = 0, nat = 4, ntyp = 3
/
ATOMIC_SPECIES
Sc 44.96 Sc.upf
K 39.10 K.upf
Ca 40.08 Ca.upf
ATOMIC_POSITIONS angstrom
Sc 4.417 -0.773 1.684
K 12.401 6.529 0.000
K 6.436 3.388 0.000
Ca 2.668 2.549 1.648
CELL_PARAMETERS angstrom
8.028 -0.016 0.036
4.530 6.627 -0.036
-5.474 -4.836 3.332

What is the formula in the second record?
NdP3Pd3

Which value of E does entry 2 give?
-5.77 eV per atom